Below is HfInAg2 after structural relaxation, with properties calculated at the GGA-PBE level.

Summary:
- DFT formation energy: 0.276 eV/atom

Structure (CIF):
```
data_HfInAg2
_cell_length_a 3.0141
_cell_length_b 3.0141
_cell_length_c 32.5147
_cell_angle_alpha 90.00
_cell_angle_beta 90.00
_cell_angle_gamma 120.00
_space_group_name_H-M_alt 'R -3 m'
_space_group_IT_number 166
_space_group_name_Hall '-R 3 2"'
loop_
_atom_site_label
_atom_site_fract_x
_atom_site_fract_y
_atom_site_fract_z
_atom_site_occupancy
Hf1 0.0000 0.0000 0.0000 1
In1 0.0000 0.0000 0.5000 1
Ag1 0.0000 0.0000 0.0860 1
```

Below is Hf4In3Ag after structural relaxation, with properties calculated at the GGA-PBE level.

Summary:
- DFT formation energy: -0.107 eV/atom

Structure (CIF):
```
data_Hf4In3Ag
_cell_length_a 4.392
_cell_length_b 4.392
_cell_length_c 17.521
_cell_angle_alpha 90.00
_cell_angle_beta 90.00
_cell_angle_gamma 90.00
_space_group_name_H-M_alt 'I 4/m m m'
_space_group_IT_number 139
_space_group_name_Hall '-I 4 2'
loop_
_atom_site_label
_atom_site_fract_x
_atom_site_fract_y
_atom_site_fract_z
_atom_site_occupancy
Hf1 0.000 0.500 0.123 1
In1 0.000 0.000 0.000 1
In2 0.000 0.000 0.250 1
Ag1 0.000 0.000 0.500 1
```

Below is HfInAgIr after structural relaxation, with properties calculated at the GGA-PBE level.

Summary:
- DFT formation energy: -0.331 eV/atom

Structure (CIF):
```
data_HfInAgIr
_cell_length_a 6.639
_cell_length_b 6.639
_cell_length_c 6.639
_cell_angle_alpha 90.00
_cell_angle_beta 90.00
_cell_angle_gamma 90.00
_space_group_name_H-M_alt 'F -4 3 m'
_space_group_IT_number 216
_space_group_name_Hall 'F -4 2 3'
loop_
_atom_site_label
_atom_site_fract_x
_atom_site_fract_y
_atom_site_fract_z
_atom_site_occupancy
Hf1 0.000 0.000 0.000 1
In1 0.000 0.000 0.500 1
Ag1 0.250 0.250 0.250 1
Ir1 0.250 0.250 0.750 1
```

Below is LiHfInAg after structural relaxation, with properties calculated at the GGA-PBE level.

Summary:
- DFT formation energy: -0.076 eV/atom

Structure (CIF):
```
data_LiHfInAg
_cell_length_a 6.769
_cell_length_b 6.769
_cell_length_c 6.769
_cell_angle_alpha 90.00
_cell_angle_beta 90.00
_cell_angle_gamma 90.00
_space_group_name_H-M_alt 'F -4 3 m'
_space_group_IT_number 216
_space_group_name_Hall 'F -4 2 3'
loop_
_atom_site_label
_atom_site_fract_x
_atom_site_fract_y
_atom_site_fract_z
_atom_site_occupancy
Li1 0.000 0.000 0.000 1
Hf1 0.000 0.000 0.500 1
In1 0.250 0.250 0.250 1
Ag1 0.250 0.250 0.750 1
```